Record 1
DFT (GGA-PBE) results for a relaxed La3SnRu crystal.

Calculated values
Its energy above the lowest structure with this stoichiometry is 0.016 eV per atom. The value obtained for the density of states at the Fermi level is 9.82 states/eV per cell. The calculated volume is 145.5 Å³/f.u. As for the uncorrected energy: -6.11 eV per atom.

Unit cell a=6.2169 b=6.7542 c=7.1747 alpha=76.62 beta=83.34 gamma=89.65
Sites, in units of the cell vectors:
La (0.1570, 0.1710, 0.0515)
La (0.2745, 0.1517, 0.5419)
La (0.3067, 0.6320, 0.1998)
La (0.6933, 0.3680, 0.8002)
La (0.7255, 0.8483, 0.4581)
La (0.8430, 0.8290, 0.9485)
Sn (0.2245, 0.6143, 0.6948)
Sn (0.7755, 0.3857, 0.3052)
Ru (0.4330, 0.9133, 0.8360)
Ru (0.5670, 0.0867, 0.1640)


Record 2
DFT (GGA-PBE) results for a relaxed La3Sn2Ru2 crystal.

Calculated values
The value obtained for the density of states at the Fermi level is 5.91 states/eV per cell. The calculated volume is 194.4 Å³/f.u. As for the uncorrected energy: -6.40 eV per atom.

Unit cell a=9.7992 b=9.7992 c=9.7992 alpha=153.82 beta=152.03 gamma=38.68
Sites, in units of the cell vectors:
La (0.0000, 0.0000, 0.0000)
La (0.3269, 0.8269, 0.5000)
La (0.6731, 0.1731, 0.5000)
Sn (0.1391, 0.6391, 0.5000)
Sn (0.8609, 0.3609, 0.5000)
Ru (0.4359, 0.4359, 0.0000)
Ru (0.5641, 0.5641, 0.0000)


Record 3
DFT (GGA-PBE) results for a relaxed La2Sn4Ru crystal.

Calculated values
Its energy above the lowest structure with this stoichiometry is 0.293 eV per atom. The value obtained for the density of states at the Fermi level is 8.29 states/eV per cell. The calculated volume is 207.6 Å³/f.u. As for the uncorrected energy: -5.32 eV per atom.

Unit cell a=9.0017 b=9.0017 c=9.0017 alpha=147.69 beta=147.69 gamma=46.34
Sites, in units of the cell vectors:
La (0.1457, 0.1457, 0.0000)
La (0.8543, 0.8543, 0.0000)
Sn (0.0000, 0.5000, 0.5000)
Sn (0.3349, 0.3349, 0.0000)
Sn (0.5000, 0.0000, 0.5000)
Sn (0.6651, 0.6651, 0.0000)
Ru (0.5000, 0.5000, 0.0000)


Record 4
DFT (GGA-PBE) results for a relaxed La3SnRu crystal.

Calculated values
Its energy above the lowest structure with this stoichiometry is 0.345 eV per atom. The value obtained for the density of states at the Fermi level is 8.48 states/eV per cell. The calculated volume is 147.8 Å³/f.u. As for the uncorrected energy: -5.78 eV per atom.

Unit cell a=7.8768 b=7.8768 c=6.4494 alpha=90.00 beta=90.00 gamma=132.38
Sites, in units of the cell vectors:
La (0.0000, 0.0000, 0.0000)
La (0.0000, 0.0000, 0.5000)
La (0.0567, 0.4440, 0.2500)
La (0.4440, 0.0567, 0.7500)
La (0.5560, 0.9433, 0.2500)
La (0.9433, 0.5560, 0.7500)
Sn (0.4014, 0.5986, 0.7500)
Sn (0.5986, 0.4014, 0.2500)
Ru (0.1593, 0.8407, 0.2500)
Ru (0.8407, 0.1593, 0.7500)


Record 5
DFT (GGA-PBE) results for a relaxed La2SnRu2 crystal.

Calculated values
The value obtained for the density of states at the Fermi level is 5.35 states/eV per cell. The calculated volume is 119.3 Å³/f.u. As for the uncorrected energy: -6.94 eV per atom.

Unit cell a=5.9129 b=5.9129 c=8.3108 alpha=104.17 beta=104.17 gamma=58.80
Sites, in units of the cell vectors:
La (0.0071, 0.7052, 0.8543)
La (0.2948, 0.9929, 0.6457)
La (0.7052, 0.0071, 0.3543)
La (0.9929, 0.2948, 0.1457)
Sn (0.3738, 0.6262, 0.2500)
Sn (0.6262, 0.3738, 0.7500)
Ru (0.1991, 0.5119, 0.4859)
Ru (0.4881, 0.8009, 0.0141)
Ru (0.5119, 0.1991, 0.9859)
Ru (0.8009, 0.4881, 0.5141)


Record 6
DFT (GGA-PBE) results for a relaxed LaSnRu2 crystal.

Calculated values
The value obtained for the density of states at the Fermi level is 5.12 states/eV per cell. The calculated volume is 85.8 Å³/f.u. As for the uncorrected energy: -6.59 eV per atom.

Unit cell a=6.0788 b=6.0788 c=6.0788 alpha=106.61 beta=106.61 gamma=115.37
Sites, in units of the cell vectors:
La (0.0000, 0.0000, 0.0000)
La (0.7500, 0.2500, 0.5000)
Sn (0.2500, 0.7500, 0.5000)
Sn (0.5000, 0.5000, 0.0000)
Ru (0.1469, 0.1250, 0.5219)
Ru (0.3750, 0.8531, 0.9781)
Ru (0.6031, 0.6250, 0.4781)
Ru (0.8750, 0.3969, 0.0219)


Record 7
DFT (GGA-PBE) results for a relaxed La3SnRu crystal.

Calculated values
Its energy above the lowest structure with this stoichiometry is 0.278 eV per atom. The value obtained for the density of states at the Fermi level is 37.78 states/eV per cell. The calculated volume is 183.5 Å³/f.u. As for the uncorrected energy: -5.85 eV per atom.

Unit cell a=10.1252 b=10.1252 c=10.1252 alpha=60.00 beta=60.00 gamma=60.00
Sites, in units of the cell vectors:
La (0.0860, 0.0860, 0.6640)
La (0.0860, 0.6640, 0.0860)
La (0.0860, 0.6640, 0.6640)
La (0.3360, 0.3360, 0.9140)
La (0.3360, 0.9140, 0.3360)
La (0.3360, 0.9140, 0.9140)
La (0.6640, 0.0860, 0.0860)
La (0.6640, 0.0860, 0.6640)
La (0.6640, 0.6640, 0.0860)
La (0.9140, 0.3360, 0.3360)
La (0.9140, 0.3360, 0.9140)
La (0.9140, 0.9140, 0.3360)
Sn (0.0000, 0.5000, 0.5000)
Sn (0.5000, 0.0000, 0.5000)
Sn (0.5000, 0.5000, 0.0000)
Sn (0.5000, 0.5000, 0.5000)
Ru (0.0000, 0.0000, 0.0000)
Ru (0.0000, 0.0000, 0.5000)
Ru (0.0000, 0.5000, 0.0000)
Ru (0.5000, 0.0000, 0.0000)


Record 8
DFT (GGA-PBE) results for a relaxed LaSnRu crystal.

Calculated values
The value obtained for the density of states at the Fermi level is 2.22 states/eV per cell. The calculated volume is 81.5 Å³/f.u. As for the uncorrected energy: -6.44 eV per atom.

Unit cell a=6.9642 b=7.3337 c=6.4729 alpha=90.00 beta=99.67 gamma=90.00
Sites, in units of the cell vectors:
La (0.2420, 0.0547, 0.2135)
La (0.2420, 0.4453, 0.7135)
La (0.7580, 0.5547, 0.2865)
La (0.7580, 0.9453, 0.7865)
Sn (0.2508, 0.5506, 0.2258)
Sn (0.2508, 0.9494, 0.7258)
Sn (0.7492, 0.0506, 0.2742)
Sn (0.7492, 0.4494, 0.7742)
Ru (0.0336, 0.7117, 0.9046)
Ru (0.0336, 0.7883, 0.4046)
Ru (0.9664, 0.2117, 0.5954)
Ru (0.9664, 0.2883, 0.0954)


Record 9
DFT (GGA-PBE) results for a relaxed La3SnRu crystal.

Calculated values
Its energy above the lowest structure with this stoichiometry is 0.009 eV per atom. The value obtained for the density of states at the Fermi level is 10.60 states/eV per cell. The calculated volume is 150.0 Å³/f.u. As for the uncorrected energy: -6.12 eV per atom.

Unit cell a=6.0019 b=7.3482 c=7.3894 alpha=90.00 beta=113.02 gamma=90.00
Sites, in units of the cell vectors:
La (0.1522, 0.2500, 0.1485)
La (0.2961, 0.0183, 0.7145)
La (0.2961, 0.4817, 0.7145)
La (0.7039, 0.5183, 0.2855)
La (0.7039, 0.9817, 0.2855)
La (0.8478, 0.7500, 0.8515)
Sn (0.2233, 0.7500, 0.3200)
Sn (0.7767, 0.2500, 0.6800)
Ru (0.3480, 0.7500, 0.9883)
Ru (0.6520, 0.2500, 0.0117)


Record 10
DFT (GGA-PBE) results for a relaxed La3SnRu crystal.

Calculated values
Its energy above the lowest structure with this stoichiometry is 0.030 eV per atom. The value obtained for the density of states at the Fermi level is 8.73 states/eV per cell. The calculated volume is 154.8 Å³/f.u. As for the uncorrected energy: -6.10 eV per atom.

Unit cell a=5.4257 b=6.9065 c=8.2635 alpha=90.00 beta=90.01 gamma=90.00
Sites, in units of the cell vectors:
La (0.0000, 0.0000, 0.0000)
La (0.9995, 0.2500, 0.3891)
La (0.0000, 0.5000, 0.0000)
La (0.0005, 0.7500, 0.6109)
La (0.4988, 0.2500, 0.7328)
La (0.5012, 0.7500, 0.2672)
Sn (0.4996, 0.2500, 0.1544)
Sn (0.5004, 0.7500, 0.8456)
Ru (0.0021, 0.2500, 0.7023)
Ru (0.9979, 0.7500, 0.2977)


Record 11
DFT (GGA-PBE) results for a relaxed La6SnRu crystal.

Calculated values
The value obtained for the density of states at the Fermi level is 8.90 states/eV per cell. The calculated volume is 270.9 Å³/f.u. As for the uncorrected energy: -5.61 eV per atom.

Unit cell a=6.5966 b=6.5966 c=6.5861 alpha=100.22 beta=100.22 gamma=100.39
Sites, in units of the cell vectors:
La (0.0921, 0.7020, 0.7027)
La (0.2978, 0.2978, 0.9070)
La (0.2980, 0.9079, 0.2973)
La (0.7020, 0.0921, 0.7027)
La (0.7022, 0.7022, 0.0930)
La (0.9079, 0.2980, 0.2973)
Sn (0.5000, 0.5000, 0.5000)
Ru (0.0000, 0.0000, 0.0000)


Record 12
DFT (GGA-PBE) results for a relaxed La3SnRu crystal.

Calculated values
Its energy above the lowest structure with this stoichiometry is 0.042 eV per atom. The value obtained for the density of states at the Fermi level is 8.27 states/eV per cell. The calculated volume is 142.8 Å³/f.u. As for the uncorrected energy: -6.09 eV per atom.

Unit cell a=5.7879 b=6.2252 c=8.9438 alpha=110.26 beta=97.13 gamma=104.03
Sites, in units of the cell vectors:
La (0.0156, 0.3703, 0.2856)
La (0.3336, 0.1826, 0.5988)
La (0.3950, 0.2476, 0.0342)
La (0.6050, 0.7524, 0.9658)
La (0.6664, 0.8174, 0.4012)
La (0.9844, 0.6297, 0.7144)
Sn (0.1647, 0.8358, 0.1753)
Sn (0.8353, 0.1642, 0.8247)
Ru (0.4420, 0.7059, 0.6453)
Ru (0.5580, 0.2941, 0.3547)


Number 1: magnetization 0.000 μB per atom. Number 2: magnetization 0.000 μB per atom. Number 3: magnetization 0.000 μB per atom. Number 4: magnetization 0.000 μB per atom. Number 5: magnetization 0.000 μB per atom. Number 6: magnetization 0.000 μB per atom. Number 7: magnetization 0.000 μB per atom. Number 8: magnetization 0.000 μB per atom. Number 9: magnetization 0.000 μB per atom. Number 10: magnetization 0.000 μB per atom. Number 11: magnetization 0.000 μB per atom. Number 12: magnetization 0.000 μB per atom.